Entry 1:
Here is an optimized crystal structure of SrPrMgTl from Alexandria via LeMat-Bulk. Energies are from GGA-PBE.

Unit cell a=4.0108 b=4.0108 c=8.1377 alpha=90.00 beta=90.00 gamma=90.00
Closest atoms and distances in Å follow each position.
Sites, in units of the cell vectors:
Sr: 0.0000 0.0000 0.0000  4 Tl 3.57, 4 Mg 3.60
Pr: 0.0000 0.0000 0.4954  4 Tl 3.40, 4 Mg 3.40
Mg: 0.5000 0.5000 0.7267  4 Pr 3.40, 4 Sr 3.60, 1 Tl 3.75
Tl: 0.5000 0.5000 0.2656  4 Pr 3.40, 4 Sr 3.57, 1 Mg 3.75

Results
Its space group is P4mm (99). As for the energy of formation: -0.96 eV per formula unit. The calculation puts the energy above the lowest structure with this stoichiometry at 0 meV/atom.

Entry 2:
Here is an optimized crystal structure of Fe4CuRu from Alexandria via LeMat-Bulk. Energies are from GGA-PBE.

Unit cell a=4.6863 b=4.6863 c=4.6863 alpha=60.00 beta=60.00 gamma=60.00
Closest atoms and distances in Å follow each position.
Sites, in units of the cell vectors:
Fe: 0.1245 0.1245 0.1245  6 Fe 2.33-2.35
Fe: 0.1245 0.1245 0.6264  6 Fe 2.33-2.35
Fe: 0.1245 0.6264 0.1245  6 Fe 2.33-2.35
Fe: 0.6264 0.1245 0.1245  6 Fe 2.33-2.35
Cu: 0.7500 0.7500 0.7500  12 Fe 2.75, 4 Ru 2.87
Ru: 0.5000 0.5000 0.5000  12 Fe 2.75, 4 Cu 2.87

Results
Its space group is F-43m (216). As for the energy of formation: 1.25 eV per formula unit.

Entry 3:
Here is an optimized crystal structure of TiBi2Se4 from Alexandria via LeMat-Bulk. Energies are from GGA-PBE.

Unit cell a=7.6049 b=7.6049 c=7.8779 alpha=116.04 beta=116.04 gamma=28.23
Closest atoms and distances in Å follow each position.
Sites, in units of the cell vectors:
Ti: 0.0000 0.0000 0.0000  6 Se 2.60-2.67
Bi: 0.2697 0.2697 0.2940  3 Se 2.77-3.03
Bi: 0.7303 0.7303 0.7060  3 Se 2.77-3.03
Se: 0.1064 0.1064 0.3782  1 Ti 2.67, 1 Bi 2.77
Se: 0.3862 0.3862 0.0368  2 Ti 2.60
Se: 0.6138 0.6138 0.9632  2 Ti 2.60
Se: 0.8936 0.8936 0.6218  1 Ti 2.67, 1 Bi 2.77

Results
Its space group is C2/m (12). For the raw formation energy, the calculation gives -0.482 eV per atom.

Entry 4:
Here is an optimized crystal structure of CaCo2SiC from Alexandria via LeMat-Bulk. Energies are from GGA-PBE.

Unit cell a=5.5291 b=5.5291 c=6.7128 alpha=90.00 beta=90.00 gamma=139.84
Closest atoms and distances in Å follow each position.
Sites, in units of the cell vectors:
Ca: 0.0512 0.9488 0.7500  4 C 2.59
Ca: 0.9488 0.0512 0.2500  4 C 2.59
Co: 0.3365 0.6635 0.5588  1 C 1.74
Co: 0.3365 0.6635 0.9412  1 C 1.74
Co: 0.6635 0.3365 0.0588  1 C 1.74
Co: 0.6635 0.3365 0.4412  1 C 1.74
Si: 0.2287 0.7713 0.2500  6 Co 2.36-2.39
Si: 0.7713 0.2287 0.7500  6 Co 2.36-2.39
C: 0.5000 0.5000 0.0000  2 Co 1.74
C: 0.5000 0.5000 0.5000  2 Co 1.74

Results
Its space group is Cmcm (63). For the raw formation energy, the calculation gives -0.335 eV per atom.

Entry 5:
Here is an optimized crystal structure of CaTlCuBr4 from Alexandria via LeMat-Bulk. Energies are from GGA-PBE.

Unit cell a=6.8004 b=7.4687 c=9.0552 alpha=90.00 beta=109.16 gamma=90.00
Closest atoms and distances in Å follow each position.
Sites, in units of the cell vectors:
Ca: 0.2218 0.2500 0.0564  6 Br 2.87-3.05
Ca: 0.7782 0.7500 0.9436  6 Br 2.87-3.05
Tl: 0.2399 0.2500 0.5562  4 Br 3.19-3.54
Tl: 0.7601 0.7500 0.4438  4 Br 3.19-3.54
Cu: 0.2165 0.7500 0.8160  4 Br 2.44-2.49
Cu: 0.7835 0.2500 0.1840  4 Br 2.44-2.49
Br: 0.0191 0.5074 0.2136  1 Cu 2.46
Br: 0.0191 0.9926 0.2136  1 Cu 2.46
Br: 0.4306 0.7500 0.6461  1 Cu 2.44
Br: 0.4620 0.7500 0.0888  1 Cu 2.49
Br: 0.5380 0.2500 0.9112  1 Cu 2.49
Br: 0.5694 0.2500 0.3539  1 Cu 2.44
Br: 0.9809 0.0074 0.7864  1 Cu 2.46
Br: 0.9809 0.4926 0.7864  1 Cu 2.46

Results
Its space group is P2_1/m (11). For the raw formation energy, the calculation gives -1.167 eV per atom.

Entry 6:
Here is an optimized crystal structure of Y2BeAlIn from Alexandria via LeMat-Bulk. Energies are from GGA-PBE.

Unit cell a=5.1848 b=5.1848 c=4.5366 alpha=90.00 beta=90.00 gamma=90.00
Closest atoms and distances in Å follow each position.
Sites, in units of the cell vectors:
Y: 0.0000 0.5000 0.0000  2 Be 2.59
Y: 0.5000 0.0000 0.0000  2 Be 2.59
Be: 0.0000 0.0000 0.0000  2 In 2.27
Al: 0.5000 0.5000 0.5000  8 Y 3.44, 4 In 3.67
In: 0.0000 0.0000 0.5000  2 Be 2.27

Results
Its space group is P4/mmm (123). As for the energy of formation: 0.19 eV per formula unit.

Entry 7:
Here is an optimized crystal structure of TiTl3Cr2Te6 from Alexandria via LeMat-Bulk. Energies are from GGA-PBE.

Unit cell a=7.0768 b=7.0768 c=8.1306 alpha=90.03 beta=90.03 gamma=120.08
Closest atoms and distances in Å follow each position.
Sites, in units of the cell vectors:
Ti: 0.0000 0.0000 0.0000  6 Te 2.82
Tl: 0.0000 0.0000 0.5000  6 Te 3.50
Tl: 0.3332 0.6668 0.5000  6 Te 3.47-3.48
Tl: 0.6668 0.3332 0.5000  6 Te 3.47-3.48
Cr: 0.3335 0.6665 0.0000  6 Te 2.78-2.79
Cr: 0.6665 0.3335 0.0000  6 Te 2.78-2.79
Te: 0.9996 0.3369 0.8152  2 Cr 2.78-2.79, 1 Ti 2.82
Te: 0.0004 0.6631 0.1848  2 Cr 2.78-2.79, 1 Ti 2.82
Te: 0.3369 0.9996 0.8152  2 Cr 2.78-2.79, 1 Ti 2.82
Te: 0.3377 0.3377 0.1851  2 Cr 2.78, 1 Ti 2.82
Te: 0.6623 0.6623 0.8149  2 Cr 2.78, 1 Ti 2.82
Te: 0.6631 0.0004 0.1848  2 Cr 2.78-2.79, 1 Ti 2.82

Results
Its space group is C2/m (12). For the raw formation energy, the calculation gives -0.334 eV per atom.

Entry 8:
Here is an optimized crystal structure of BaCdF5 from Alexandria via LeMat-Bulk. Energies are from GGA-PBE.

Unit cell a=6.2949 b=6.2949 c=8.7812 alpha=110.50 beta=110.50 gamma=70.59
Closest atoms and distances in Å follow each position.
Sites, in units of the cell vectors:
Ba: 0.0457 0.9543 0.7500  7 F 2.56-2.73
Ba: 0.9543 0.0457 0.2500  7 F 2.56-2.73
Cd: 0.5000 0.5000 0.0000  6 F 2.09-2.27
Cd: 0.5000 0.5000 0.5000  6 F 2.09-2.27
F: 0.1954 0.7897 0.0248  1 Cd 2.18
F: 0.2103 0.8046 0.4752  1 Cd 2.18
F: 0.2597 0.2902 0.3852  1 Cd 2.09
F: 0.2902 0.2597 0.8852  1 Cd 2.09
F: 0.4210 0.5790 0.7500  2 Cd 2.27
F: 0.5790 0.4210 0.2500  2 Cd 2.27
F: 0.7098 0.7403 0.1148  1 Cd 2.09
F: 0.7403 0.7098 0.6148  1 Cd 2.09
F: 0.7897 0.1954 0.5248  1 Cd 2.18
F: 0.8046 0.2103 0.9752  1 Cd 2.18

Results
Its space group is C2/c (15). For the raw formation energy, the calculation gives -2.548 eV per atom.

Entry 9:
Here is an optimized crystal structure of MgSc from Alexandria via LeMat-Bulk. Energies are from GGA-PBE.

Unit cell a=5.6056 b=5.6056 c=5.6056 alpha=132.33 beta=132.33 gamma=69.72
Closest atoms and distances in Å follow each position.
Sites, in units of the cell vectors:
Mg: 0.3750 0.6250 0.7500  8 Sc 3.20-3.23, 4 Mg 3.23
Mg: 0.6250 0.3750 0.2500  8 Sc 3.20-3.23, 4 Mg 3.23
Sc: 0.1250 0.8750 0.2500  8 Mg 3.20-3.23, 4 Sc 3.23
Sc: 0.8750 0.1250 0.7500  8 Mg 3.20-3.23, 4 Sc 3.23

Results
Its space group is I4_1/amd (141). As for the energy of formation: 0.11 eV per formula unit.

Entry 10:
Here is an optimized crystal structure of CaBe2W2 from Alexandria via LeMat-Bulk. Energies are from GGA-PBE.

Unit cell a=6.2155 b=6.2155 c=6.2155 alpha=144.12 beta=144.12 gamma=51.64
Closest atoms and distances in Å follow each position.
Sites, in units of the cell vectors:
Ca: 0.0000 0.0000 0.0000  8 Be 2.97
Be: 0.3908 0.3908 0.0000  1 Be 2.44, 4 W 2.48
Be: 0.6092 0.6092 0.0000  1 Be 2.44, 4 W 2.48
W: 0.2500 0.7500 0.5000  4 Be 2.48, 4 W 2.71
W: 0.7500 0.2500 0.5000  4 Be 2.48, 4 W 2.71

Results
Its space group is I4/mmm (139). As for the energy of formation: 1.76 eV per formula unit.

Entry 11:
Here is an optimized crystal structure of Sc3AuO from Alexandria via LeMat-Bulk. Energies are from GGA-PBE.

Unit cell a=7.7794 b=7.7794 c=7.7794 alpha=47.06 beta=47.06 gamma=47.06
Closest atoms and distances in Å follow each position.
Sites, in units of the cell vectors:
Sc: 0.0681 0.7500 0.4319  1 O 1.98
Sc: 0.2500 0.5681 0.9319  1 O 1.98
Sc: 0.4319 0.0681 0.7500  1 O 1.98
Sc: 0.5681 0.9319 0.2500  1 O 1.98
Sc: 0.7500 0.4319 0.0681  1 O 1.98
Sc: 0.9319 0.2500 0.5681  1 O 1.98
Au: 0.0000 0.0000 0.0000  6 Sc 2.73
Au: 0.5000 0.5000 0.5000  6 Sc 2.73
O: 0.2500 0.2500 0.2500  3 Sc 1.98
O: 0.7500 0.7500 0.7500  3 Sc 1.98

Results
Its space group is R-3c (167). For the raw formation energy, the calculation gives -1.264 eV per atom.

Entry 12:
Here is an optimized crystal structure of Pr3TlPt from Alexandria via LeMat-Bulk. Energies are from GGA-PBE.

Unit cell a=9.2025 b=9.2025 c=4.1623 alpha=90.00 beta=90.00 gamma=110.36
Closest atoms and distances in Å follow each position.
Sites, in units of the cell vectors:
Pr: 0.1727 0.8273 0.0000  2 Pt 2.87
Pr: 0.1821 0.4200 0.5000  2 Pt 2.92
Pr: 0.4200 0.1821 0.5000  2 Pt 2.92
Pr: 0.5800 0.8179 0.5000  2 Pt 2.92
Pr: 0.8179 0.5800 0.5000  2 Pt 2.92
Pr: 0.8273 0.1727 0.0000  2 Pt 2.87
Tl: 0.0000 0.0000 0.5000  8 Pr 3.34-3.64
Tl: 0.5000 0.5000 0.0000  8 Pr 3.45
Pt: 0.0000 0.5000 0.0000  6 Pr 2.87-2.92
Pt: 0.5000 0.0000 0.0000  6 Pr 2.87-2.92

Results
Its space group is Cmmm (65). As for the energy of formation: -2.55 eV per formula unit. The calculation puts the energy above the lowest structure with this stoichiometry at 0 meV/atom.

Entry 13:
Here is an optimized crystal structure of ZrCr3Ni from Alexandria via LeMat-Bulk. Energies are from GGA-PBE.

Unit cell a=4.4376 b=4.4376 c=4.4376 alpha=90.00 beta=90.00 gamma=90.00
Closest atoms and distances in Å follow each position.
Sites, in units of the cell vectors:
Zr: 0.0000 0.0000 0.0000  12 Cr 3.14
Cr: 0.0000 0.5000 0.5000  2 Ni 2.22
Cr: 0.5000 0.0000 0.5000  2 Ni 2.22
Cr: 0.5000 0.5000 0.0000  2 Ni 2.22
Ni: 0.5000 0.5000 0.5000  6 Cr 2.22

Results
Its space group is Pm-3m (221). As for the energy of formation: 4.74 eV per formula unit. The calculation puts the energy above the lowest structure with this stoichiometry at 0 meV/atom.

Entry 14:
Here is an optimized crystal structure of BeMo2N from Alexandria via LeMat-Bulk. Energies are from GGA-PBE.

Unit cell a=7.8254 b=7.8254 c=7.8254 alpha=20.57 beta=20.57 gamma=20.57
Closest atoms and distances in Å follow each position.
Sites, in units of the cell vectors:
Be: 0.0000 0.0000 0.0000  2 Mo 2.40
Mo: 0.1044 0.1044 0.1044  3 N 2.16, 1 Be 2.40
Mo: 0.8956 0.8956 0.8956  3 N 2.16, 1 Be 2.40
N: 0.5000 0.5000 0.5000  6 Mo 2.16

Results
Its space group is R-3m (166). For the raw formation energy, the calculation gives 0.432 eV per atom. The calculation puts the energy above the lowest structure with this stoichiometry at 0 meV/atom.

Entry 15:
Here is an optimized crystal structure of BHRu from Alexandria via LeMat-Bulk. Energies are from GGA-PBE.

Unit cell a=2.9292 b=2.9347 c=6.5915 alpha=90.33 beta=102.67 gamma=119.59
Closest atoms and distances in Å follow each position.
Sites, in units of the cell vectors:
B: 0.2078 0.3533 0.0622  3 B 1.87
B: 0.7922 0.6467 0.9378  3 B 1.87
H: 0.2178 0.8530 0.5754  4 Ru 1.90-1.95, 3 H 1.93-1.97
H: 0.7822 0.1470 0.4246  4 Ru 1.90-1.95, 3 H 1.93-1.97
Ru: 0.0153 0.7624 0.2769  4 H 1.90-1.95
Ru: 0.9847 0.2376 0.7231  4 H 1.90-1.95

Results
Its space group is P-1 (2). The calculation puts the energy above the lowest structure with this stoichiometry at 0 meV/atom.

Entry 16:
Here is an optimized crystal structure of La2Pm4SmDy2 from Alexandria via LeMat-Bulk. Energies are from GGA-PBE.

Unit cell a=9.7211 b=9.7211 c=9.7618 alpha=115.27 beta=115.27 gamma=21.83
Closest atoms and distances in Å follow each position.
Sites, in units of the cell vectors:
La: 0.1663 0.1663 0.4980  3 Dy 3.62-3.64, 3 Pm 3.62-3.64, 4 La 3.67-3.68, 2 Sm 3.68
La: 0.8337 0.8337 0.5020  3 Dy 3.62-3.64, 3 Pm 3.62-3.64, 4 La 3.67-3.68, 2 Sm 3.68
Pm: 0.0187 0.0187 0.8364  5 Pm 3.56-3.69, 4 Dy 3.59-3.67, 1 La 3.62, 2 Sm 3.64
Pm: 0.3141 0.3141 0.1652  6 Pm 3.59-3.69, 3 Dy 3.60-3.67, 1 Sm 3.63, 2 La 3.64
Pm: 0.6859 0.6859 0.8348  6 Pm 3.59-3.69, 3 Dy 3.60-3.67, 1 Sm 3.63, 2 La 3.64
Pm: 0.9813 0.9813 0.1636  5 Pm 3.56-3.69, 4 Dy 3.59-3.67, 1 La 3.62, 2 Sm 3.64
Sm: 0.5000 0.5000 0.5000  6 Pm 3.63-3.64, 4 La 3.68, 2 Sm 3.68
Dy: 0.3520 0.3520 0.8350  7 Pm 3.59-3.67, 3 La 3.62-3.64, 2 Dy 3.68
Dy: 0.6480 0.6480 0.1650  7 Pm 3.59-3.67, 3 La 3.62-3.64, 2 Dy 3.68

Results
Its space group is C2/m (12). As for the energy of formation: 0.04 eV per formula unit.

Entry 17:
Here is an optimized crystal structure of LaTiPt2Au from Alexandria via LeMat-Bulk. Energies are from GGA-PBE.

Unit cell a=5.1029 b=5.1029 c=5.0513 alpha=90.00 beta=90.00 gamma=90.00
Closest atoms and distances in Å follow each position.
Sites, in units of the cell vectors:
La: 0.0000 0.0000 0.0000  2 Ti 2.53, 4 Pt 2.55
Ti: 0.0000 0.0000 0.5000  2 La 2.53
Pt: 0.0000 0.5000 0.0000  2 La 2.55
Pt: 0.5000 0.0000 0.0000  2 La 2.55
Au: 0.5000 0.5000 0.5000  8 Pt 3.59, 4 Ti 3.61

Results
Its space group is P4/mmm (123). As for the energy of formation: 6.03 eV per formula unit.

Entry 18:
Here is an optimized crystal structure of Tm3Zn8Cu from Alexandria via LeMat-Bulk. Energies are from GGA-PBE.

Unit cell a=9.2076 b=9.2076 c=9.2076 alpha=33.54 beta=33.54 gamma=33.54
Closest atoms and distances in Å follow each position.
Sites, in units of the cell vectors:
Tm: 0.0000 0.0000 0.0000  12 Zn 3.01-3.15, 3 Cu 3.19, 1 Tm 3.29
Tm: 0.1262 0.1262 0.1262  12 Zn 3.10-3.19, 4 Tm 3.29-3.36
Tm: 0.5120 0.5120 0.5120  12 Zn 3.02-3.34, 1 Cu 3.16, 3 Tm 3.36
Zn: 0.0641 0.5650 0.5650  6 Zn 2.64-2.69
Zn: 0.0663 0.0663 0.5683  6 Zn 2.63-2.67
Zn: 0.0663 0.5683 0.0663  6 Zn 2.63-2.67
Zn: 0.3155 0.3155 0.3155  6 Zn 2.63-2.64
Zn: 0.5650 0.0641 0.5650  6 Zn 2.64-2.69
Zn: 0.5650 0.5650 0.0641  6 Zn 2.64-2.69
Zn: 0.5683 0.0663 0.0663  6 Zn 2.63-2.67
Zn: 0.8162 0.8162 0.8162  6 Zn 2.67-2.69
Cu: 0.6331 0.6331 0.6331  12 Zn 2.98-3.17, 4 Tm 3.16-3.19

Results
Its space group is R3m (160). As for the energy of formation: -2.97 eV per formula unit.

Entry 19:
Here is an optimized crystal structure of KBe2Ge from Alexandria via LeMat-Bulk. Energies are from GGA-PBE.

Unit cell a=4.3473 b=5.7142 c=6.8451 alpha=83.57 beta=76.98 gamma=80.09
Closest atoms and distances in Å follow each position.
Sites, in units of the cell vectors:
K: 0.0000 0.0000 0.0000  4 Be 3.21-3.55, 2 K 3.32-3.49
K: 0.4872 0.4848 0.1379  2 Be 3.15-3.31, 3 Ge 3.26-3.35, 2 K 3.32-3.49
Be: 0.0478 0.5957 0.6670  4 Be 2.16-2.20, 1 Ge 2.34
Be: 0.3936 0.2725 0.6137  3 Be 2.18-2.26, 2 Ge 2.28-2.37
Be: 0.5403 0.6031 0.6724  4 Be 2.16-2.20, 2 Ge 2.37-2.41
Be: 0.7420 0.9291 0.5972  3 Be 2.16-2.26, 2 Ge 2.34-2.41
Ge: 0.3067 0.9084 0.4543  5 Be 2.34-2.57, 1 Ge 2.61
Ge: 0.9172 0.3099 0.4925  5 Be 2.28-2.41

Results
Its space group is P1 (1). As for the energy of formation: 0.72 eV per formula unit.

Entry 20:
Here is an optimized crystal structure of Nd3DyNi2 from Alexandria via LeMat-Bulk. Energies are from GGA-PBE.

Unit cell a=8.4995 b=8.4995 c=11.6939 alpha=122.98 beta=122.98 gamma=26.97
Closest atoms and distances in Å follow each position.
Sites, in units of the cell vectors:
Nd: 0.0808 0.0808 0.4445  3 Ni 2.87-3.07
Nd: 0.0826 0.0826 0.9378  3 Ni 2.86-2.97
Nd: 0.3455 0.3455 0.7519  3 Ni 2.83-3.03
Nd: 0.6545 0.6545 0.2481  3 Ni 2.83-3.03
Nd: 0.9174 0.9174 0.0622  3 Ni 2.86-2.97
Nd: 0.9192 0.9192 0.5555  3 Ni 2.87-3.07
Dy: 0.3409 0.3409 0.2478  3 Ni 2.80-2.97
Dy: 0.6591 0.6591 0.7522  3 Ni 2.80-2.97
Ni: 0.2671 0.2671 0.9502  2 Ni 2.52, 2 Dy 2.80
Ni: 0.2679 0.2679 0.4477  2 Ni 2.57, 4 Nd 2.83-2.87
Ni: 0.7321 0.7321 0.5523  2 Ni 2.57, 4 Nd 2.83-2.87
Ni: 0.7329 0.7329 0.0498  2 Ni 2.52, 2 Dy 2.80

Results
Its space group is C2/m (12). As for the energy of formation: -1.38 eV per formula unit.